! GGA-PBE Zn2CuRu, optimized geometry; values from VASP
&SYSTEM
  ibrav = 0, nat = 8, ntyp = 3
/
ATOMIC_SPECIES
Zn 65.41 Zn.upf
Ru 101.07 Ru.upf
Cu 63.55 Cu.upf
ATOMIC_POSITIONS angstrom
Zn 1.413 3.098 1.309
Ru 0.000 0.000 0.000
Cu 2.360 2.751 4.813
Cu -0.896 1.994 1.399
Ru 2.970 4.378 2.885
Zn 0.804 1.464 3.239
Zn 3.772 5.846 6.126
Zn 4.671 3.851 4.721
CELL_PARAMETERS angstrom
-0.287 3.621 -0.530
-1.505 0.367 3.328
7.122 3.141 4.900
! formation enthalpy at 0 K	32	kJ per mole of atoms
! space-group type	I-42d, No. 122

! GGA-PBE LaYNiPt2, optimized geometry; values from VASP
&SYSTEM
  ibrav = 0, nat = 5, ntyp = 4
/
ATOMIC_SPECIES
Ni 58.69 Ni.upf
Pt 195.08 Pt.upf
Y 88.91 Y.upf
La 138.91 La.upf
ATOMIC_POSITIONS angstrom
Ni 0.000 2.375 0.000
Pt 2.592 0.000 0.000
Pt 0.000 0.000 2.592
Y 0.000 0.000 0.000
La 2.592 2.375 2.592
CELL_PARAMETERS angstrom
5.183 0.000 0.000
0.000 4.750 0.000
0.000 0.000 5.183
! formation enthalpy at 0 K	-6	kJ per mole of atoms
! space-group type	P4/mmm, No. 123

! GGA-PBE ThTiNb, optimized geometry; values from VASP
&SYSTEM
  ibrav = 0, nat = 6, ntyp = 3
/
ATOMIC_SPECIES
Th 232.04 Th.upf
Ti 47.87 Ti.upf
Nb 92.91 Nb.upf
ATOMIC_POSITIONS angstrom
Th 1.590 0.918 9.589
Ti 0.000 1.836 1.391
Nb 1.590 0.918 14.445
Nb 0.000 1.836 6.835
Th 1.590 0.918 4.081
Ti 0.000 1.836 12.278
CELL_PARAMETERS angstrom
3.180 0.000 0.000
-1.590 2.754 0.000
0.000 0.000 15.220
! formation enthalpy at 0 K	35	kJ per mole of atoms
! space-group type	P-6m2, No. 187

! GGA-PBE EuGdTm2, optimized geometry; values from VASP
&SYSTEM
  ibrav = 0, nat = 4, ntyp = 3
/
ATOMIC_SPECIES
Tm 168.93 Tm.upf
Gd 157.25 Gd.upf
Eu 151.96 Eu.upf
ATOMIC_POSITIONS angstrom
Tm -5.559 2.542 3.304
Tm -2.985 8.683 1.287
Gd -4.272 5.613 2.295
Eu 0.000 0.000 0.000
CELL_PARAMETERS angstrom
-3.464 -0.504 0.129
-1.611 -0.306 3.095
-3.470 12.035 1.366
! formation enthalpy at 0 K	17	kJ per mole of atoms
! space-group type	R-3m, No. 166

! GGA-PBE SmP2Pd7, optimized geometry; values from VASP
&SYSTEM
  ibrav = 0, nat = 10, ntyp = 3
/
ATOMIC_SPECIES
P 30.97 P.upf
Pd 106.42 Pd.upf
Sm 150.36 Sm.upf
ATOMIC_POSITIONS angstrom
P 6.219 -1.107 1.518
Pd 6.923 -2.885 3.014
Pd 1.543 -1.928 1.701
Pd 4.233 -2.406 2.357
Pd -0.405 -2.820 -0.396
Pd 7.650 -2.600 0.245
Sm 0.000 0.000 0.000
P 2.974 -3.421 0.428
Pd 4.959 -2.122 -0.411
Pd 2.269 -1.643 -1.068
CELL_PARAMETERS angstrom
-1.132 -3.105 2.372
0.321 -2.535 -3.165
10.003 1.112 2.739
! formation enthalpy at 0 K	-60	kJ per mole of atoms
! space-group type	I4/mmm, No. 139

! GGA-PBE ZnIBr2, optimized geometry; values from VASP
&SYSTEM
  ibrav = 0, nat = 4, ntyp = 3
/
ATOMIC_SPECIES
I 126.90 I.upf
Br 79.90 Br.upf
Zn 65.41 Zn.upf
ATOMIC_POSITIONS angstrom
I 3.006 0.830 1.726
Br -0.458 2.030 5.903
Zn 1.640 3.537 5.865
Br 0.957 4.290 3.700
CELL_PARAMETERS angstrom
4.102 0.000 0.000
-0.855 5.578 0.000
-0.445 -1.231 6.139
! uncorrected formation energy	-441.2	meV/atom
! space-group type	P1, No. 1

! GGA-PBE CeCdPt, optimized geometry; values from VASP
&SYSTEM
  ibrav = 0, nat = 9, ntyp = 3
/
ATOMIC_SPECIES
Cd 112.41 Cd.upf
Ce 140.12 Ce.upf
Pt 195.08 Pt.upf
ATOMIC_POSITIONS angstrom
Cd -1.658 2.571 5.244
Ce -1.500 0.496 2.691
Ce -3.797 2.494 0.058
Pt 0.774 1.070 4.678
Cd 1.783 0.905 1.950
Cd -0.523 2.723 0.329
Pt 0.000 0.000 0.000
Pt -2.268 3.469 2.540
Ce 1.613 -1.772 3.860
CELL_PARAMETERS angstrom
-6.405 4.207 0.098
2.721 -2.990 6.511
2.191 3.321 0.609
! formation enthalpy at 0 K	-76	kJ per mole of atoms
! space-group type	P-62m, No. 189

! GGA-PBE Sc5Ag, optimized geometry; values from VASP
&SYSTEM
  ibrav = 0, nat = 6, ntyp = 2
/
ATOMIC_SPECIES
Sc 44.96 Sc.upf
Ag 107.87 Ag.upf
ATOMIC_POSITIONS angstrom
Sc -0.542 -1.018 3.196
Sc 1.393 -7.389 0.047
Sc 0.520 -4.926 1.809
Sc -1.390 1.542 4.773
Sc -2.304 5.022 5.870
Ag -0.795 -3.632 6.459
CELL_PARAMETERS angstrom
-0.017 4.093 4.284
-3.222 3.484 3.547
2.426 -11.260 -1.247
! formation enthalpy at 0 K	-4	kJ per mole of atoms
! space-group type	Cm, No. 8

! GGA-PBE NdMgScZn, optimized geometry; values from VASP
&SYSTEM
  ibrav = 0, nat = 4, ntyp = 4
/
ATOMIC_SPECIES
Zn 65.41 Zn.upf
Mg 24.30 Mg.upf
Sc 44.96 Sc.upf
Nd 144.24 Nd.upf
ATOMIC_POSITIONS angstrom
Zn 0.000 0.000 4.158
Mg 0.000 0.000 0.782
Sc 1.760 1.760 2.735
Nd 1.760 1.760 6.187
CELL_PARAMETERS angstrom
3.520 0.000 0.000
0.000 3.520 0.000
0.000 0.000 7.767
! formation enthalpy at 0 K	-19	kJ per mole of atoms
! space-group type	P4mm, No. 99

! GGA-PBE LaRh2Br, optimized geometry; values from VASP
&SYSTEM
  ibrav = 0, nat = 4, ntyp = 3
/
ATOMIC_SPECIES
Br 79.90 Br.upf
Rh 102.91 Rh.upf
La 138.91 La.upf
ATOMIC_POSITIONS angstrom
Br 4.881 2.818 1.993
Rh 0.000 0.000 0.000
La 2.441 1.409 0.996
Rh 7.322 4.227 2.989
CELL_PARAMETERS angstrom
4.881 0.000 0.000
2.441 4.227 0.000
2.441 1.409 3.985
! uncorrected formation energy	-147.1	meV/atom
! space-group type	F-43m, No. 216

! GGA-PBE PuSc2Ru3, optimized geometry; values from VASP
&SYSTEM
  ibrav = 0, nat = 6, ntyp = 3
/
ATOMIC_SPECIES
Ru 101.07 Ru.upf
Sc 44.96 Sc.upf
Pu 244.00 Pu.upf
ATOMIC_POSITIONS angstrom
Ru 0.000 0.000 6.526
Sc 1.634 1.634 8.237
Pu 1.634 1.634 4.893
Sc 1.634 1.634 1.549
Ru 0.000 0.000 0.000
Ru 0.000 0.000 3.261
CELL_PARAMETERS angstrom
3.268 0.000 0.000
0.000 3.268 0.000
0.000 0.000 9.786
! formation enthalpy at 0 K	-43	kJ per mole of atoms
! space-group type	P4/mmm, No. 123

! GGA-PBE Ge2SbPb2, optimized geometry; values from VASP
&SYSTEM
  ibrav = 0, nat = 10, ntyp = 3
/
ATOMIC_SPECIES
Ge 72.64 Ge.upf
Pb 207.20 Pb.upf
Sb 121.76 Sb.upf
ATOMIC_POSITIONS angstrom
Ge 5.872 7.668 1.659
Pb 7.694 5.846 0.000
Ge 7.668 3.155 1.659
Pb 3.181 7.694 0.000
Sb 0.000 0.000 0.000
Pb 1.332 3.181 0.000
Sb 4.513 4.513 0.000
Ge 3.155 1.358 1.659
Ge 1.358 5.872 1.659
Pb 5.846 1.332 0.000
CELL_PARAMETERS angstrom
9.027 0.000 0.000
0.000 9.027 0.000
0.000 0.000 3.319
! uncorrected formation energy	326.5	meV/atom
! space-group type	P4/mbm, No. 127

! GGA-PBE Tl2HgBi2, optimized geometry; values from VASP
&SYSTEM
  ibrav = 0, nat = 5, ntyp = 3
/
ATOMIC_SPECIES
Hg 200.59 Hg.upf
Bi 208.98 Bi.upf
Tl 204.38 Tl.upf
ATOMIC_POSITIONS angstrom
Hg 0.000 0.000 0.000
Bi 4.604 2.302 4.351
Bi 2.302 4.604 4.351
Tl 4.604 4.604 6.918
Tl 2.302 2.302 1.783
CELL_PARAMETERS angstrom
4.604 0.000 0.000
0.000 4.604 0.000
2.302 2.302 8.701
! formation enthalpy at 0 K	3	kJ per mole of atoms
! space-group type	I4/mmm, No. 139

! GGA-PBE TmSnH, optimized geometry; values from VASP
&SYSTEM
  ibrav = 0, nat = 3, ntyp = 3
/
ATOMIC_SPECIES
H 1.01 H.upf
Tm 168.93 Tm.upf
Sn 118.71 Sn.upf
ATOMIC_POSITIONS angstrom
H -1.002 -1.730 2.252
Tm -2.964 -0.936 1.330
Sn -0.022 -0.037 0.048
CELL_PARAMETERS angstrom
-2.062 2.285 0.837
-2.189 -1.263 -1.945
0.264 -3.724 4.737
! E	-4.254	eV/atom
! space-group type	I4mm, No. 107

! GGA-PBE Cs2SrPbO4, optimized geometry; values from VASP
&SYSTEM
  ibrav = 0, nat = 16, ntyp = 4
/
ATOMIC_SPECIES
O 16.00 O.upf
Cs 132.91 Cs.upf
Sr 87.62 Sr.upf
Pb 207.20 Pb.upf
ATOMIC_POSITIONS angstrom
O 1.613 1.813 0.221
O 0.211 3.336 2.477
Cs 3.852 3.855 -0.166
O 3.703 3.507 2.864
O 2.170 1.973 5.065
O 3.573 0.450 2.809
Cs 1.880 -1.948 2.726
Sr 0.011 3.841 -0.083
O 6.237 1.708 0.000
Pb 3.761 -3.895 5.452
O 0.080 0.279 2.422
Sr 5.732 1.907 2.560
O -2.454 2.078 5.286
Pb 1.892 1.893 2.643
Cs -1.960 -1.962 2.809
Cs 3.841 0.014 -0.083
CELL_PARAMETERS angstrom
7.681 0.028 -0.166
0.023 7.681 -0.166
-3.921 -3.923 5.618
! uncorrected formation energy	-1430.5	meV/atom
! space-group type	Imma, No. 74

! GGA-PBE CdAgSb2, optimized geometry; values from VASP
&SYSTEM
  ibrav = 0, nat = 4, ntyp = 3
/
ATOMIC_SPECIES
Ag 107.87 Ag.upf
Sb 121.76 Sb.upf
Cd 112.41 Cd.upf
ATOMIC_POSITIONS angstrom
Ag 4.705 1.617 3.718
Sb 8.232 2.830 0.301
Sb 7.134 2.452 5.206
Cd 2.095 0.720 1.985
CELL_PARAMETERS angstrom
4.775 0.003 0.036
3.767 2.934 0.036
0.539 0.185 7.353
! uncorrected formation energy	80.8	meV/atom
! space-group type	Cm, No. 8

! GGA-PBE LiPm2Pb3, optimized geometry; values from VASP
&SYSTEM
  ibrav = 0, nat = 6, ntyp = 3
/
ATOMIC_SPECIES
Pb 207.20 Pb.upf
Pm 145.00 Pm.upf
Li 6.94 Li.upf
ATOMIC_POSITIONS angstrom
Pb 2.350 -0.705 -1.344
Pb -0.033 -6.336 -2.558
Pm -1.548 -5.871 0.373
Pb -0.730 -2.770 0.176
Li 0.000 0.000 0.000
Pm 0.785 -3.235 -2.755
CELL_PARAMETERS angstrom
-1.730 0.255 -3.161
4.701 -1.410 -2.687
-3.734 -7.951 3.467
! formation enthalpy at 0 K	-31	kJ per mole of atoms
! space-group type	Immm, No. 71

! GGA-PBE TlPAuO, optimized geometry; values from VASP
&SYSTEM
  ibrav = 0, nat = 4, ntyp = 4
/
ATOMIC_SPECIES
Au 196.97 Au.upf
O 16.00 O.upf
Tl 204.38 Tl.upf
P 30.97 P.upf
ATOMIC_POSITIONS angstrom
Au 3.080 0.962 5.687
O 3.083 0.721 0.836
Tl 4.813 2.090 2.185
P 3.075 3.238 4.494
CELL_PARAMETERS angstrom
3.467 0.005 0.003
1.726 3.385 0.001
1.727 0.640 6.383
! uncorrected formation energy	-44.9	meV/atom
! space-group type	Cm, No. 8

! GGA-PBE NaAuI2, optimized geometry; values from VASP
&SYSTEM
  ibrav = 0, nat = 12, ntyp = 3
/
ATOMIC_SPECIES
Au 196.97 Au.upf
I 126.90 I.upf
Na 22.99 Na.upf
ATOMIC_POSITIONS angstrom
Au -3.190 5.999 6.442
Au -3.152 -0.657 0.759
I -3.421 4.661 4.249
Na -1.979 12.441 16.975
I -4.089 9.943 16.904
I -6.508 3.756 1.492
Na -1.984 5.747 11.319
I -1.002 10.849 19.660
I 0.129 8.244 11.391
I -2.958 7.337 8.635
Na -0.784 3.153 3.035
Au 0.392 9.588 13.577
CELL_PARAMETERS angstrom
-3.612 3.096 -1.469
-4.744 -0.989 1.142
2.406 12.823 21.105
! uncorrected formation energy	-627.1	meV/atom
! space-group type	P3_221, No. 154

! GGA-PBE LaHoTm2In4, optimized geometry; values from VASP
&SYSTEM
  ibrav = 0, nat = 8, ntyp = 4
/
ATOMIC_SPECIES
In 114.82 In.upf
La 138.91 La.upf
Ho 164.93 Ho.upf
Tm 168.93 Tm.upf
ATOMIC_POSITIONS angstrom
In 5.349 3.088 7.616
La 0.000 0.000 0.000
Ho 5.349 3.088 4.392
In 5.349 3.088 1.168
Tm 8.023 4.632 6.574
In 8.023 4.632 3.355
In 2.674 1.544 5.429
Tm 2.674 1.544 2.210
CELL_PARAMETERS angstrom
5.349 0.000 0.000
2.674 4.632 0.000
2.674 1.544 8.784
! formation enthalpy at 0 K	-43	kJ per mole of atoms
! space-group type	R-3m, No. 166